# 1
Computed, not measured: a geometry-optimized ReTc3 structure at the PBE-GGA level of DFT.

Computed properties:
E_tot = -10.888 eV/atom
Energy relative to the elements = 0.00 eV/atom

Lattice parameters (Å, degrees): 4.4329 5.5260 5.5260 120.00 90.00 90.00
Closest atoms and distances in Å follow each position.
Fractional coordinates of all 8 atoms:
Re 0.2500 0.3333 0.6667  12 Tc 2.73-2.76
Re 0.7500 0.6667 0.3333  12 Tc 2.73-2.76
Tc 0.2500 0.8329 0.1671  4 Re 2.73-2.76, 8 Tc 2.73-2.77
Tc 0.7500 0.1671 0.8329  4 Re 2.73-2.76, 8 Tc 2.73-2.77
Tc 0.2500 0.8329 0.6659  4 Re 2.73-2.76, 8 Tc 2.73-2.77
Tc 0.7500 0.1671 0.3341  4 Re 2.73-2.76, 8 Tc 2.73-2.77
Tc 0.2500 0.3341 0.1671  4 Re 2.73-2.76, 8 Tc 2.73-2.77
Tc 0.7500 0.6659 0.8329  4 Re 2.73-2.76, 8 Tc 2.73-2.77

***

# 2
Computed, not measured: a geometry-optimized ReTc3 structure at the PBE-GGA level of DFT.

Computed properties:
E_tot = -10.817 eV/atom
Energy relative to the elements = 0.07 eV/atom

Lattice parameters (Å, degrees): 2.7439 4.7713 4.7714 109.51 90.00 90.00
Closest atoms and distances in Å follow each position.
Fractional coordinates of all 4 atoms:
Re 0.0000 0.0000 0.0000  2 Re 2.74, 10 Tc 2.75
Tc 0.5000 0.0000 0.5000  8 Tc 2.74-2.75, 4 Re 2.75
Tc 0.5000 0.5000 0.0000  8 Tc 2.74-2.75, 4 Re 2.75
Tc 0.0000 0.5000 0.5000  10 Tc 2.74-2.75, 2 Re 2.75

***

# 3
Computed, not measured: a geometry-optimized ReTc2 structure at the PBE-GGA level of DFT.

Computed properties:
E_tot = -11.003 eV/atom
Energy relative to the elements = 0.06 eV/atom

Lattice parameters (Å, degrees): 3.8916 6.1606 3.8870 90.00 90.00 71.59
Closest atoms and distances in Å follow each position.
Fractional coordinates of all 6 atoms:
Re 0.9165 0.1670 0.2500  10 Tc 2.75-2.76, 2 Re 2.75
Re 0.0835 0.8330 0.7500  10 Tc 2.75-2.76, 2 Re 2.75
Tc 0.5834 0.8332 0.2500  6 Tc 2.75-2.76, 6 Re 2.75-2.76
Tc 0.4166 0.1668 0.7500  6 Tc 2.75-2.76, 6 Re 2.75-2.76
Tc 0.2503 0.4994 0.2500  8 Tc 2.75-2.76, 4 Re 2.75
Tc 0.7497 0.5006 0.7500  8 Tc 2.75-2.76, 4 Re 2.75

***

# 4
Computed, not measured: a geometry-optimized ReTc3 structure at the PBE-GGA level of DFT.

Computed properties:
E_tot = -10.750 eV/atom
Energy relative to the elements = 0.14 eV/atom

Lattice parameters (Å, degrees): 4.9239 4.9239 4.9239 90.00 90.00 90.00
Closest atoms and distances in Å follow each position.
Fractional coordinates of all 8 atoms:
Re 0.0000 0.0000 0.0000  12 Tc 2.75
Re 0.5000 0.5000 0.5000  12 Tc 2.75
Tc 0.0000 0.2500 0.5000  2 Tc 2.46, 4 Re 2.75
Tc 0.0000 0.7500 0.5000  2 Tc 2.46, 4 Re 2.75
Tc 0.2500 0.5000 0.0000  2 Tc 2.46, 4 Re 2.75
Tc 0.5000 0.0000 0.2500  2 Tc 2.46, 4 Re 2.75
Tc 0.5000 0.0000 0.7500  2 Tc 2.46, 4 Re 2.75
Tc 0.7500 0.5000 0.0000  2 Tc 2.46, 4 Re 2.75

***

# 5
Computed, not measured: a geometry-optimized Re2Tc structure at the PBE-GGA level of DFT.

Computed properties:
E_tot = -11.207 eV/atom
Energy relative to the elements = 0.55 eV/atom

Lattice parameters (Å, degrees): 6.3487 6.3487 4.0888 90.00 90.00 120.00
Closest atoms and distances in Å follow each position.
Fractional coordinates of all 9 atoms:
Re 0.0000 0.2501 0.0000  4 Tc 2.42-2.59
Re 0.0000 0.5875 0.5000  5 Tc 2.62-2.80
Re 0.2501 0.0000 0.0000  4 Tc 2.42-2.59
Re 0.7499 0.7499 0.0000  4 Tc 2.42-2.59
Re 0.5875 0.0000 0.5000  5 Tc 2.62-2.80
Re 0.4125 0.4125 0.5000  5 Tc 2.62-2.80
Tc 0.0000 0.0000 0.5000  9 Re 2.59-2.62
Tc 0.3333 0.6667 0.0000  3 Re 2.42
Tc 0.6667 0.3333 0.0000  3 Re 2.42

***

# 6
Computed, not measured: a geometry-optimized Re2Tc structure at the PBE-GGA level of DFT.

Computed properties:
E_tot = -11.691 eV/atom
Energy relative to the elements = 0.06 eV/atom

Lattice parameters (Å, degrees): 3.9041 3.9041 12.0361 99.33 99.33 90.00
Closest atoms and distances in Å follow each position.
Fractional coordinates of all 12 atoms:
Re 0.2497 0.2497 0.4994  4 Tc 2.76-2.77, 8 Re 2.76-2.77
Re 0.7503 0.7503 0.5006  4 Tc 2.76-2.77, 8 Re 2.76-2.77
Re 0.4997 0.9997 0.9994  4 Tc 2.76-2.77, 8 Re 2.76-2.77
Re 0.0003 0.5003 0.0006  4 Tc 2.76-2.77, 8 Re 2.76-2.77
Re 0.4164 0.4164 0.8327  6 Re 2.75-2.77, 6 Tc 2.76
Re 0.5836 0.5836 0.1673  6 Re 2.75-2.77, 6 Tc 2.76
Re 0.6664 0.1664 0.3327  6 Re 2.75-2.77, 6 Tc 2.76
Re 0.8336 0.3336 0.6673  6 Re 2.75-2.77, 6 Tc 2.76
Tc 0.0833 0.0833 0.1667  10 Re 2.76-2.77, 2 Tc 2.76
Tc 0.9167 0.9167 0.8333  10 Re 2.76-2.77, 2 Tc 2.76
Tc 0.3333 0.8333 0.6667  10 Re 2.76-2.77, 2 Tc 2.76
Tc 0.1667 0.6667 0.3333  10 Re 2.76-2.77, 2 Tc 2.76

***

# 7
Computed, not measured: a geometry-optimized Re2Tc structure at the PBE-GGA level of DFT.

Computed properties:
E_tot = -11.758 eV/atom
Energy relative to the elements = 0.00 eV/atom

Lattice parameters (Å, degrees): 2.7678 4.4655 7.3309 90.00 100.88 90.00
Closest atoms and distances in Å follow each position.
Fractional coordinates of all 6 atoms:
Re 0.4448 0.2500 0.8897  6 Re 2.74-2.77, 6 Tc 2.75-2.76
Re 0.5552 0.7500 0.1103  6 Re 2.74-2.77, 6 Tc 2.75-2.76
Re 0.7779 0.2500 0.5557  8 Re 2.75-2.77, 4 Tc 2.75-2.77
Re 0.2221 0.7500 0.4443  8 Re 2.75-2.77, 4 Tc 2.75-2.77
Tc 0.1109 0.2500 0.2218  10 Re 2.75-2.77, 2 Tc 2.77
Tc 0.8891 0.7500 0.7782  10 Re 2.75-2.77, 2 Tc 2.77

***

# 8
Computed, not measured: a geometry-optimized ReTc3 structure at the PBE-GGA level of DFT.

Computed properties:
E_tot = -10.540 eV/atom
Energy relative to the elements = 0.35 eV/atom

Lattice parameters (Å, degrees): 5.2959 5.2959 4.4874 90.00 90.00 89.96
Closest atoms and distances in Å follow each position.
Fractional coordinates of all 8 atoms:
Re 0.4193 0.5807 0.7500  2 Re 2.55, 5 Tc 2.58-2.78
Re 0.5807 0.4193 0.2500  2 Re 2.55, 5 Tc 2.58-2.78
Tc 0.9248 0.0752 0.2500  6 Tc 2.51-2.78, 1 Re 2.58
Tc 0.0752 0.9248 0.7500  6 Tc 2.51-2.78, 1 Re 2.58
Tc 0.4262 0.9210 0.2500  5 Tc 2.52-2.78, 2 Re 2.76-2.78
Tc 0.5738 0.0790 0.7500  5 Tc 2.52-2.78, 2 Re 2.76-2.78
Tc 0.0790 0.5738 0.2500  5 Tc 2.52-2.78, 2 Re 2.76-2.78
Tc 0.9210 0.4262 0.7500  5 Tc 2.52-2.78, 2 Re 2.76-2.78

***

# 9
Computed, not measured: a geometry-optimized ReTc2 structure at the PBE-GGA level of DFT.

Computed properties:
E_tot = -11.060 eV/atom
Energy relative to the elements = 0.00 eV/atom

Lattice parameters (Å, degrees): 2.7643 7.3156 4.4415 90.00 90.00 79.11
Closest atoms and distances in Å follow each position.
Fractional coordinates of all 6 atoms:
Re 0.9995 0.0011 0.0000  6 Tc 2.74-2.78, 6 Re 2.74-2.76
Re 0.5561 0.8878 0.5000  6 Tc 2.74-2.78, 6 Re 2.74-2.76
Tc 0.6676 0.6648 0.0000  8 Tc 2.73-2.76, 4 Re 2.74-2.78
Tc 0.3331 0.3338 0.0000  10 Tc 2.73-2.76, 2 Re 2.76
Tc 0.2225 0.5551 0.5000  10 Tc 2.73-2.76, 2 Re 2.76
Tc 0.8880 0.2241 0.5000  8 Tc 2.73-2.76, 4 Re 2.74-2.78

***

# 10
Computed, not measured: a geometry-optimized ReTc3 structure at the PBE-GGA level of DFT.

Computed properties:
E_tot = -10.817 eV/atom
Energy relative to the elements = 0.07 eV/atom

Lattice parameters (Å, degrees): 2.7412 4.7678 6.1622 121.25 77.19 73.40
Closest atoms and distances in Å follow each position.
Fractional coordinates of all 4 atoms:
Re 0.0000 0.0000 0.0000  2 Re 2.74, 10 Tc 2.75-2.76
Tc 0.0000 0.5000 0.5000  8 Tc 2.74-2.75, 4 Re 2.75
Tc 0.4981 0.7516 0.2519  9 Tc 2.73-2.77, 3 Re 2.76
Tc 0.5019 0.2484 0.7481  9 Tc 2.73-2.77, 3 Re 2.76

***

# 11
Computed, not measured: a geometry-optimized ReTc2 structure at the PBE-GGA level of DFT.

Computed properties:
E_tot = -10.947 eV/atom
Energy relative to the elements = 0.11 eV/atom

Lattice parameters (Å, degrees): 4.3443 4.3443 5.4781 90.00 90.00 120.00
Closest atoms and distances in Å follow each position.
Fractional coordinates of all 6 atoms:
Re 0.3333 0.6667 0.2500  5 Tc 2.51-2.74
Re 0.6667 0.3333 0.7500  5 Tc 2.51-2.74
Tc 0.0000 0.0000 0.0000  8 Tc 2.74-2.86, 6 Re 2.86
Tc 0.0000 0.0000 0.5000  8 Tc 2.74-2.86, 6 Re 2.86
Tc 0.3333 0.6667 0.7500  5 Re 2.51-2.74
Tc 0.6667 0.3333 0.2500  5 Re 2.51-2.74

***

# 12
Computed, not measured: a geometry-optimized Re2Tc structure at the PBE-GGA level of DFT.

Computed properties:
E_tot = -11.692 eV/atom
Energy relative to the elements = 0.06 eV/atom

Lattice parameters (Å, degrees): 2.7587 3.9065 4.7845 114.09 106.76 90.00
Closest atoms and distances in Å follow each position.
Fractional coordinates of all 3 atoms:
Re 0.6666 0.6666 0.3333  7 Re 2.76, 5 Tc 2.76
Re 0.3334 0.3334 0.6667  7 Re 2.76, 5 Tc 2.76
Tc 0.0000 0.0000 0.0000  2 Tc 2.76, 10 Re 2.76